The following is a DFT calculation (PBE) of Be2HgOs after structural relaxation.

a = 2.775 Å, b = 2.775 Å, c = 8.237 Å
α = 90.00°, β = 90.00°, γ = 118.01°
Element x y z (fractional)
Be1 0.000 0.000 0.010
Be2 0.500 0.500 0.214
Os1 0.500 0.500 0.795
Hg1 0.000 0.000 0.482

Values from the calculation:
Its formation energy is 60.0 kJ/mol of atoms. The density of states at the Fermi level is 2.161 states/eV/f.u. Its space group is Cmm2, No. 35. Its magnetization is 0.00 μB per cell.

***

The following is a DFT calculation (PBE) of Be2HgOs after structural relaxation.

a = 4.037 Å, b = 4.037 Å, c = 3.070 Å
α = 90.00°, β = 90.00°, γ = 90.00°
Element x y z (fractional)
Be1 0.000 0.000 0.000
Be2 0.500 0.500 0.000
Os1 0.000 0.500 0.500
Hg1 0.500 0.000 0.500

Values from the calculation:
Its formation energy is 22.4 kJ/mol of atoms. The density of states at the Fermi level is 0.855 states/eV/f.u. Its space group is P4/mmm, No. 123. Its magnetization is 0.00 μB per cell.

***

The following is a DFT calculation (PBE) of Be2HgOs after structural relaxation.

a = 4.676 Å, b = 4.676 Å, c = 4.217 Å
α = 74.78°, β = 74.78°, γ = 35.82°
Element x y z (fractional)
Be1 0.999 0.999 0.053
Be2 0.739 0.739 0.722
Os1 0.267 0.267 0.173
Hg1 0.494 0.494 0.552

Values from the calculation:
Its formation energy is 34.7 kJ/mol of atoms. The density of states at the Fermi level is 2.894 states/eV/f.u. Its space group is Cm, No. 8. Its magnetization is 0.00 μB per cell.

***

The following is a DFT calculation (PBE) of Be2HgOs after structural relaxation.

a = 6.366 Å, b = 6.366 Å, c = 5.274 Å
α = 52.88°, β = 52.88°, γ = 90.00°
Element x y z (fractional)
Be1 0.606 0.125 0.250
Be2 0.144 0.625 0.250
Be3 0.375 0.394 0.750
Be4 0.875 0.856 0.750
Os1 0.500 0.500 0.000
Os2 0.250 0.750 0.500
Hg1 0.000 0.000 0.000
Hg2 0.750 0.250 0.500

Values from the calculation:
Its formation energy is 61.1 kJ/mol of atoms. The density of states at the Fermi level is 0.183 states/eV/f.u. Its space group is I-42d, No. 122. Its magnetization is 0.00 μB per cell.

***

The following is a DFT calculation (PBE) of Be2HgOs after structural relaxation.

a = 3.708 Å, b = 3.092 Å, c = 4.657 Å
α = 71.13°, β = 90.00°, γ = 90.00°
Element x y z (fractional)
Be1 0.000 0.206 0.962
Be2 0.500 0.062 0.254
Os1 0.500 0.755 0.856
Hg1 0.000 0.478 0.428

Values from the calculation:
Its formation energy is 28.7 kJ/mol of atoms. The density of states at the Fermi level is 1.661 states/eV/f.u. Its space group is Pm, No. 6. Its magnetization is 0.00 μB per cell.

***

The following is a DFT calculation (PBE) of BeHg3Os after structural relaxation.

a = 5.282 Å, b = 5.282 Å, c = 5.282 Å
α = 90.00°, β = 90.00°, γ = 90.00°
Element x y z (fractional)
Be1 0.500 0.500 0.500
Os1 0.000 0.000 0.000
Hg1 0.000 0.500 0.000
Hg2 0.000 0.000 0.500
Hg3 0.500 0.000 0.000

Values from the calculation:
Its formation energy is 127.5 kJ/mol of atoms. The density of states at the Fermi level is 4.941 states/eV/f.u. Its space group is Pm-3m, No. 221. Its magnetization is 1.02 μB per cell.

***

The following is a DFT calculation (PBE) of BeHgOs after structural relaxation.

a = 2.846 Å, b = 2.846 Å, c = 6.490 Å
α = 90.00°, β = 90.00°, γ = 120.00°
Element x y z (fractional)
Be1 0.000 0.000 0.968
Os1 0.333 0.667 0.714
Hg1 0.667 0.333 0.317

Values from the calculation:
Its formation energy is 49.9 kJ/mol of atoms. The density of states at the Fermi level is 1.584 states/eV/f.u. Its space group is P3m1, No. 156. Its magnetization is 0.00 μB per cell.

***

The following is a DFT calculation (PBE) of BeHgOs3 after structural relaxation.

a = 4.921 Å, b = 4.921 Å, c = 4.921 Å
α = 90.00°, β = 90.00°, γ = 90.00°
Element x y z (fractional)
Be1 0.500 0.500 0.500
Os1 0.000 0.500 0.000
Os2 0.000 0.000 0.500
Os3 0.500 0.000 0.000
Hg1 0.000 0.000 0.000

Values from the calculation:
Its formation energy is 340.8 kJ/mol of atoms. The density of states at the Fermi level is 5.379 states/eV/f.u. Its space group is Pm-3m, No. 221. Its magnetization is 5.42 μB per cell.